No. 1
Below is a geometry-optimized GdMgPb structure, with properties calculated at the GGA-PBE level.

Results
Energy relative to the elements ... -0.57 eV per formula unit
Space group ... F-43m
Distance to the lowest polymorph of the same formula ... 0.130 eV per atom

Geometry as POSCAR:
```
GdMgPb
1.0
0.000 3.584 3.584
3.584 0.000 3.584
3.584 3.584 0.000
Gd Mg Pb
1 1 1
Cartesian
0.000 0.000 0.000 Gd
3.584 3.584 3.584 Mg
5.375 5.375 5.375 Pb
```

No. 2
Below is a geometry-optimized GdMgPb structure, with properties calculated at the GGA-PBE level.

Results
Energy relative to the elements ... -0.96 eV per formula unit
Space group ... P3m1
Distance to the lowest polymorph of the same formula ... 0.000 eV per atom

Geometry as POSCAR:
```
GdMgPb
1.0
5.061 0.000 0.000
-2.530 4.383 0.000
0.000 0.000 3.614
Gd Mg Pb
1 1 1
Cartesian
0.000 0.000 0.000 Gd
0.000 2.922 1.806 Mg
2.530 1.461 1.813 Pb
```

No. 3
Below is a geometry-optimized Gd2MgPb structure, with properties calculated at the GGA-PBE level.

Results
Energy relative to the elements ... 0.25 eV per formula unit
Space group ... R-3m
Distance to the lowest polymorph of the same formula ... 0.427 eV per atom

Geometry as POSCAR:
```
Gd2MgPb
1.0
1.753 1.012 11.725
-1.753 1.012 11.725
0.000 -2.025 11.725
Gd Mg Pb
2 1 1
Cartesian
0.000 0.000 3.203 Gd
0.000 0.000 31.970 Gd
0.000 0.000 17.587 Mg
0.000 0.000 0.000 Pb
```

No. 4
Below is a geometry-optimized Gd2MgPb structure, with properties calculated at the GGA-PBE level.

Results
Energy relative to the elements ... -1.29 eV per formula unit
Space group ... Fm-3m
Distance to the lowest polymorph of the same formula ... 0.042 eV per atom

Geometry as POSCAR:
```
Gd2MgPb
1.0
0.000 3.829 3.829
3.829 0.000 3.829
3.829 3.829 0.000
Gd Mg Pb
2 1 1
Cartesian
1.914 1.914 1.914 Gd
5.743 5.743 5.743 Gd
0.000 0.000 0.000 Mg
3.829 3.829 3.829 Pb
```

No. 5
Below is a geometry-optimized Gd2MgPb structure, with properties calculated at the GGA-PBE level.

Results
Energy relative to the elements ... -1.26 eV per formula unit
Space group ... P4/mmm
Distance to the lowest polymorph of the same formula ... 0.050 eV per atom

Geometry as POSCAR:
```
Gd2MgPb
1.0
4.022 0.000 0.000
0.000 4.022 0.000
0.000 0.000 7.008
Gd Mg Pb
2 1 1
Cartesian
0.000 0.000 1.736 Gd
0.000 0.000 5.272 Gd
2.011 2.011 3.504 Mg
2.011 2.011 0.000 Pb
```

No. 6
Below is a geometry-optimized GdMg4Pb structure, with properties calculated at the GGA-PBE level.

Results
Energy relative to the elements ... -0.22 eV per formula unit
Space group ... F-43m

Geometry as POSCAR:
```
GdMg4Pb
1.0
0.000 4.272 4.272
4.272 0.000 4.272
4.272 4.272 0.000
Gd Mg Pb
1 4 1
Cartesian
0.000 0.000 0.000 Gd
3.203 3.203 3.203 Mg
5.340 5.340 3.203 Mg
5.340 3.203 5.340 Mg
3.203 5.340 5.340 Mg
6.407 6.407 6.407 Pb
```